[1]
Entry from Alexandria via LeMat-Bulk: a relaxed structure of CrTe2 (PBE).

Cell: 3.8378 3.8378 6.1583 Å, 90.00 90.00 120.00°
Fractional coordinates of all 3 atoms:
Cr1 0.0000 0.0000 0.0000
Te1 0.3333 0.6667 0.7494
Te2 0.6667 0.3333 0.2506

## Properties
Crystal system: trigonal
Energy relative to the elements, uncorrected (kJ/mol of formula units): -57.0
Total DFT energy (no corrections) (eV per atom): -5.499

---

[2]
Entry from Alexandria via LeMat-Bulk: a relaxed structure of ZrInPt6 (PBE).

Cell: 4.0554 4.0554 8.0789 Å, 90.00 90.00 90.00°
Fractional coordinates of all 8 atoms:
Zr1 0.0000 0.0000 0.0000
In1 0.0000 0.0000 0.5000
Pt1 0.0000 0.5000 0.2458
Pt2 0.0000 0.5000 0.7542
Pt3 0.5000 0.0000 0.2458
Pt4 0.5000 0.0000 0.7542
Pt5 0.5000 0.5000 0.0000
Pt6 0.5000 0.5000 0.5000

## Properties
E_form (eV/atom): -0.745
Crystal system: tetragonal
Total DFT energy (no corrections) (eV per atom): -6.687

---

[3]
Entry from Alexandria via LeMat-Bulk: a relaxed structure of YAu2Cl (PBE).

Cell: 4.0699 4.0699 5.5052 Å, 90.00 90.00 90.00°
Fractional coordinates of all 4 atoms:
Y1 0.0000 0.0000 0.0000
Au1 0.5000 0.5000 0.2497
Au2 0.5000 0.5000 0.7503
Cl1 0.0000 0.0000 0.5000

## Properties
Crystal system: tetragonal
Energy relative to the elements, uncorrected (kJ/mol of formula units): -270.9
Total DFT energy (no corrections) (eV per atom): -4.418

---

[4]
Entry from Alexandria via LeMat-Bulk: a relaxed structure of LaTiAl (PBE).

Cell: 3.2423 4.0664 10.6270 Å, 90.00 90.00 90.00°
Fractional coordinates of all 6 atoms:
La1 0.0000 0.0000 0.0000
La2 0.5000 0.5000 0.5000
Ti1 0.0000 0.0000 0.2918
Ti2 0.5000 0.5000 0.7918
Al1 0.0000 0.0000 0.6957
Al2 0.5000 0.5000 0.1957

## Properties
E_form (eV/atom): -0.025
Crystal system: orthorhombic
Total DFT energy (no corrections) (eV per atom): -5.546

---

[5]
Entry from Alexandria via LeMat-Bulk: a relaxed structure of CrMo4W7 (PBE).

Cell: 2.7441 7.7178 9.3273 Å, 105.88 95.64 90.09°
Fractional coordinates of all 12 atoms:
Cr1 0.0000 0.0000 0.0000
Mo1 0.0836 0.5830 0.2482
Mo2 0.1663 0.1662 0.4992
Mo3 0.2505 0.7540 0.7535
Mo4 0.3314 0.3288 0.9992
W1 0.4111 0.9178 0.2449
W2 0.4981 0.5000 0.4992
W3 0.5846 0.0821 0.7542
W4 0.6688 0.6712 0.9992
W5 0.7512 0.2462 0.2449
W6 0.8362 0.8339 0.4997
W7 0.9198 0.4169 0.7507

## Properties
E_form (eV/atom): 0.010
Crystal system: triclinic
Total DFT energy (no corrections) (eV per atom): -11.959

---

[6]
Entry from Alexandria via LeMat-Bulk: a relaxed structure of NiMo2Au (PBE).

Cell: 2.7064 4.0854 5.4570 Å, 90.00 90.37 90.00°
Fractional coordinates of all 4 atoms:
Ni1 0.0000 0.0000 0.0000
Mo1 0.4971 0.5000 0.2249
Mo2 0.5029 0.5000 0.7751
Au1 0.0000 0.0000 0.5000

## Properties
E_form (eV/atom): 0.151
Crystal system: monoclinic
Total DFT energy (no corrections) (eV per atom): -7.530